Record 1
9
Lattice="-1.789 -1.405 -3.421 3.576 -7.047 1.023 -5.811 0.664 5.233" Properties=species:S:1:pos:R:3 comment="PBE Rb2PuAu2S4, optimized geometry" space_group="No. 12" final_energy_ev_per_cell=-47.4 pbc="T T T"
Rb 0.270 -4.046 1.520
Rb -4.293 -3.741 1.315
Pu 0.000 0.000 0.000
Au -3.218 -0.791 -0.459
Au -0.806 -6.996 3.294
S -1.837 -1.392 1.532
S -2.187 -6.396 1.303
S 1.684 -6.181 -0.809
S -5.707 -1.606 3.644

---

Record 2
10
Lattice="5.318 0.000 0.000 0.000 7.634 0.301 0.000 -2.007 7.479" Properties=species:S:1:pos:R:3 comment="PBE RbPuAuS2, optimized geometry" space_group="No. 13" final_energy_ev_per_cell=-63.6 pbc="T T T"
Rb 0.947 2.312 5.760
Rb 4.371 3.315 2.020
Pu 2.597 -0.502 1.870
Pu 2.721 -1.505 5.609
Au 0.000 0.000 0.000
Au 0.000 -1.004 3.740
S 3.679 3.949 7.373
S 3.679 0.675 4.147
S 1.638 4.952 3.634
S 1.638 1.678 0.407

---

Record 3
15
Lattice="-1.484 7.631 -1.145 0.197 -4.986 -6.523 -7.163 -0.556 5.579" Properties=species:S:1:pos:R:3 comment="PBE Rb3Pu3AuS8, optimized geometry" space_group="No. 12" final_energy_ev_per_cell=-100.8 pbc="T T T"
Rb 0.000 0.000 0.000
Rb 0.099 -2.493 -3.261
Rb -0.643 1.323 -3.834
Pu -4.324 3.537 2.217
Pu -4.225 1.045 -1.044
Pu -3.483 -2.771 -0.472
Au -3.582 -0.278 2.789
S -2.508 -0.810 -2.147
S -5.942 2.899 0.058
S -2.947 3.169 -2.021
S -5.503 -1.080 -0.067
S -3.558 5.702 0.653
S -4.892 -3.613 -2.742
S -2.732 1.458 1.290
S -5.718 0.631 -3.378

---

Record 4
7
Lattice="-2.947 -1.554 -3.630 1.795 -2.891 -3.563 -2.764 -9.643 3.027" Properties=species:S:1:pos:R:3 comment="PBE RbPu2Sb2Au2, optimized geometry" space_group="No. 166" final_energy_ev_per_cell=-47.8 pbc="T T T"
Rb 0.000 0.000 0.000
Pu -1.733 -6.106 0.676
Pu -2.183 -7.981 -4.842
Sb -2.933 -10.553 -3.133
Sb -0.983 -3.535 -1.033
Au -1.592 -5.788 -2.918
Au -2.324 -8.300 -1.248

---

| no. | raw formation energy (eV per atom) | density of states at the Fermi level (states/eV/f.u.) |
| --- | --- | --- |
| 1 | -0.90 | 9.2 |
| 2 | -0.99 | 12.3 |
| 3 | -1.24 | 24.6 |
| 4 | -0.48 | 15.4 |